TiClO | PBEsol | relaxed

Structure (CIF):
```
data_TiClO
_chemical_formula_sum 'Ti2 Cl2 O2'
_symmetry_space_group_name_H-M 'P m m n'
_symmetry_Int_Tables_number 59
_cell_length_a 3.1998
_cell_length_b 3.9831
_cell_length_c 7.8003
_cell_angle_alpha 90.00
_cell_angle_beta 90.00
_cell_angle_gamma 90.00
loop_
_symmetry_equiv_pos_as_xyz
'x,y,z'
'-x,-y,-z'
'-x+1/2,-y+1/2,z'
'x+1/2,y+1/2,-z'
'x+1/2,-y,-z'
'-x+1/2,y,z'
'-x,y+1/2,-z'
'x,-y+1/2,z'
loop_
_atom_site_label
_atom_site_fract_x
_atom_site_fract_y
_atom_site_fract_z
Ti1 0.2500 0.2500 0.0889
Cl1 0.2500 0.7500 0.6830
O1 0.2500 0.7500 0.0782
```

Output
Formation energy from raw total energies = -2.352 eV per atom
Magnetization = 0.000 μB/f.u.